(1)
# RbHfB2 | Alexandria | SCAN | PBEsol geometry
data_RbHfB2
_space_group_name_H-M_alt 'P 1'
_space_group_IT_number 1
_cell_length_a 4.542
_cell_length_b 4.542
_cell_length_c 4.542
_cell_angle_alpha 60.00
_cell_angle_beta 60.00
_cell_angle_gamma 60.00
loop_
_space_group_symop_operation_xyz
'x,y,z'
loop_
_atom_site_label
_atom_site_fract_x
_atom_site_fract_y
_atom_site_fract_z
Rb1 0.000 0.000 0.000
Hf1 0.500 0.500 0.500
B1 0.250 0.250 0.250
B2 0.750 0.750 0.750
# uncorrected energy	-22.8090	eV per atom
# formation energy from the elements	1.759	eV/atom

(2)
# FeNiPt2 | Alexandria | SCAN | PBEsol geometry
data_FeNiPt2
_space_group_name_H-M_alt 'P 1'
_space_group_IT_number 1
_cell_length_a 4.525
_cell_length_b 4.525
_cell_length_c 2.686
_cell_angle_alpha 90.00
_cell_angle_beta 90.00
_cell_angle_gamma 107.16
loop_
_space_group_symop_operation_xyz
'x,y,z'
loop_
_atom_site_label
_atom_site_fract_x
_atom_site_fract_y
_atom_site_fract_z
Fe1 0.000 0.000 0.000
Ni1 0.500 0.500 0.000
Pt1 0.000 0.500 0.500
Pt2 0.500 0.000 0.500
# uncorrected energy	-43.9923	eV per atom
# formation energy from the elements	-0.320	eV/atom

(3)
# CaNd3Mn4O12 | Alexandria | SCAN | PBEsol geometry
data_CaNd3Mn4O12
_space_group_name_H-M_alt 'P 1'
_space_group_IT_number 1
_cell_length_a 5.375
_cell_length_b 7.630
_cell_length_c 5.446
_cell_angle_alpha 90.00
_cell_angle_beta 90.05
_cell_angle_gamma 90.00
loop_
_space_group_symop_operation_xyz
'x,y,z'
loop_
_atom_site_label
_atom_site_fract_x
_atom_site_fract_y
_atom_site_fract_z
Ca1 0.000 0.000 0.000
Nd1 0.020 0.500 0.915
Nd2 0.502 0.500 0.414
Nd3 0.520 0.000 0.502
Mn1 0.010 0.247 0.456
Mn2 0.010 0.753 0.456
Mn3 0.511 0.247 0.959
Mn4 0.511 0.753 0.959
O1 0.085 0.000 0.436
O2 0.228 0.295 0.174
O3 0.228 0.705 0.174
O4 0.296 0.290 0.672
O5 0.296 0.710 0.672
O6 0.432 0.000 0.943
O7 0.585 0.500 0.968
O8 0.720 0.215 0.248
O9 0.720 0.785 0.248
O10 0.795 0.209 0.744
O11 0.795 0.791 0.744
O12 0.939 0.500 0.473
# uncorrected energy	-17.3888	eV per atom
# E_form (uncorrected)	-2979	meV per atom

(4)
# MnTc3F | Alexandria | SCAN | PBEsol geometry
data_MnTc3F
_space_group_name_H-M_alt 'P 1'
_space_group_IT_number 1
_cell_length_a 4.369
_cell_length_b 4.369
_cell_length_c 4.369
_cell_angle_alpha 90.00
_cell_angle_beta 90.00
_cell_angle_gamma 90.00
loop_
_space_group_symop_operation_xyz
'x,y,z'
loop_
_atom_site_label
_atom_site_fract_x
_atom_site_fract_y
_atom_site_fract_z
Mn1 0.000 0.000 0.000
Tc1 0.000 0.000 0.500
Tc2 0.000 0.500 0.000
Tc3 0.500 0.000 0.000
F1 0.500 0.500 0.500
# uncorrected energy	-24.0916	eV per atom
# E_form (uncorrected)	1303	meV per atom

(5)
# Ag3As | Alexandria | SCAN | PBEsol geometry
data_Ag3As
_space_group_name_H-M_alt 'P 1'
_space_group_IT_number 1
_cell_length_a 5.802
_cell_length_b 5.802
_cell_length_c 4.663
_cell_angle_alpha 90.00
_cell_angle_beta 90.00
_cell_angle_gamma 120.00
loop_
_space_group_symop_operation_xyz
'x,y,z'
loop_
_atom_site_label
_atom_site_fract_x
_atom_site_fract_y
_atom_site_fract_z
Ag1 0.166 0.332 0.250
Ag2 0.166 0.834 0.250
Ag3 0.332 0.166 0.750
Ag4 0.668 0.834 0.250
Ag5 0.834 0.166 0.750
Ag6 0.834 0.668 0.750
As1 0.333 0.667 0.750
As2 0.667 0.333 0.250
# uncorrected energy	-28.4917	eV per atom
# formation energy from the elements	0.081	eV/atom

(6)
# SbOs2W | Alexandria | SCAN | PBEsol geometry
data_SbOs2W
_space_group_name_H-M_alt 'P 1'
_space_group_IT_number 1
_cell_length_a 5.302
_cell_length_b 5.302
_cell_length_c 5.302
_cell_angle_alpha 146.89
_cell_angle_beta 128.75
_cell_angle_gamma 62.39
loop_
_space_group_symop_operation_xyz
'x,y,z'
loop_
_atom_site_label
_atom_site_fract_x
_atom_site_fract_y
_atom_site_fract_z
Sb1 0.000 0.000 0.000
Os1 0.235 0.735 0.500
Os2 0.765 0.265 0.500
W1 0.500 0.500 0.000
# uncorrected energy	-61.9988	eV per atom
# E_form (uncorrected)	678	meV per atom

(7)
# La2Au | Alexandria | SCAN | PBEsol geometry
data_La2Au
_space_group_name_H-M_alt 'P 1'
_space_group_IT_number 1
_cell_length_a 6.669
_cell_length_b 6.669
_cell_length_c 7.087
_cell_angle_alpha 90.00
_cell_angle_beta 90.00
_cell_angle_gamma 145.05
loop_
_space_group_symop_operation_xyz
'x,y,z'
loop_
_atom_site_label
_atom_site_fract_x
_atom_site_fract_y
_atom_site_fract_z
La1 0.022 0.978 0.500
La2 0.296 0.704 0.701
La3 0.704 0.296 0.201
La4 0.978 0.022 0.000
Au1 0.383 0.617 0.275
Au2 0.617 0.383 0.775
# uncorrected energy	-52.5276	eV per atom
# formation energy from the elements	-0.739	eV/atom

(8)
# SrCrRe | Alexandria | SCAN | PBEsol geometry
data_SrCrRe
_space_group_name_H-M_alt 'P 1'
_space_group_IT_number 1
_cell_length_a 3.114
_cell_length_b 3.114
_cell_length_c 7.030
_cell_angle_alpha 90.00
_cell_angle_beta 90.00
_cell_angle_gamma 120.00
loop_
_space_group_symop_operation_xyz
'x,y,z'
loop_
_atom_site_label
_atom_site_fract_x
_atom_site_fract_y
_atom_site_fract_z
Sr1 0.000 0.000 0.000
Cr1 0.667 0.333 0.606
Re1 0.333 0.667 0.394
# uncorrected energy	-36.1810	eV per atom
# formation energy from the elements	1.071	eV/atom

(9)
# CeMnSi2Pd | Alexandria | SCAN | PBEsol geometry
data_CeMnSi2Pd
_space_group_name_H-M_alt 'P 1'
_space_group_IT_number 1
_cell_length_a 5.690
_cell_length_b 5.690
_cell_length_c 5.690
_cell_angle_alpha 138.42
_cell_angle_beta 138.42
_cell_angle_gamma 60.27
loop_
_space_group_symop_operation_xyz
'x,y,z'
loop_
_atom_site_label
_atom_site_fract_x
_atom_site_fract_y
_atom_site_fract_z
Ce1 0.000 0.000 0.000
Mn1 0.250 0.750 0.500
Si1 0.375 0.375 0.000
Si2 0.625 0.625 0.000
Pd1 0.750 0.250 0.500
# uncorrected energy	-23.8424	eV per atom
# E_form (uncorrected)	-717	meV per atom

(10)
# Sr3HgN | Alexandria | SCAN | PBEsol geometry
data_Sr3HgN
_space_group_name_H-M_alt 'P 1'
_space_group_IT_number 1
_cell_length_a 5.192
_cell_length_b 5.192
_cell_length_c 5.192
_cell_angle_alpha 90.00
_cell_angle_beta 90.00
_cell_angle_gamma 90.00
loop_
_space_group_symop_operation_xyz
'x,y,z'
loop_
_atom_site_label
_atom_site_fract_x
_atom_site_fract_y
_atom_site_fract_z
Sr1 0.000 0.000 0.500
Sr2 0.000 0.500 0.000
Sr3 0.500 0.000 0.000
Hg1 0.500 0.500 0.500
N1 0.000 0.000 0.000
# uncorrected energy	-29.5089	eV per atom
# E_form (uncorrected)	-652	meV per atom

(11)
# Li2CaMg | Alexandria | SCAN | PBEsol geometry
data_Li2CaMg
_space_group_name_H-M_alt 'P 1'
_space_group_IT_number 1
_cell_length_a 5.276
_cell_length_b 5.276
_cell_length_c 5.276
_cell_angle_alpha 60.00
_cell_angle_beta 60.00
_cell_angle_gamma 60.00
loop_
_space_group_symop_operation_xyz
'x,y,z'
loop_
_atom_site_label
_atom_site_fract_x
_atom_site_fract_y
_atom_site_fract_z
Li1 0.000 0.000 0.000
Li2 0.250 0.250 0.250
Ca1 0.750 0.750 0.750
Mg1 0.500 0.500 0.500
# uncorrected energy	-4.8053	eV per atom
# formation energy from the elements	0.049	eV/atom

(12)
# Ca2TaCu | Alexandria | SCAN | PBEsol geometry
data_Ca2TaCu
_space_group_name_H-M_alt 'P 1'
_space_group_IT_number 1
_cell_length_a 9.856
_cell_length_b 9.856
_cell_length_c 9.856
_cell_angle_alpha 19.93
_cell_angle_beta 19.93
_cell_angle_gamma 19.93
loop_
_space_group_symop_operation_xyz
'x,y,z'
loop_
_atom_site_label
_atom_site_fract_x
_atom_site_fract_y
_atom_site_fract_z
Ca1 0.000 0.000 0.000
Ca2 0.217 0.217 0.217
Ta1 0.461 0.461 0.461
Cu1 0.739 0.739 0.739
# uncorrected energy	-24.6579	eV per atom
# formation energy from the elements	0.620	eV/atom

(13)
# Y2CdIn | Alexandria | SCAN | PBEsol geometry
data_Y2CdIn
_space_group_name_H-M_alt 'P 1'
_space_group_IT_number 1
_cell_length_a 6.225
_cell_length_b 6.225
_cell_length_c 6.225
_cell_angle_alpha 144.99
_cell_angle_beta 132.19
_cell_angle_gamma 60.61
loop_
_space_group_symop_operation_xyz
'x,y,z'
loop_
_atom_site_label
_atom_site_fract_x
_atom_site_fract_y
_atom_site_fract_z
Y1 0.000 0.000 0.000
Y2 0.732 0.232 0.500
Cd1 0.257 0.757 0.500
In1 0.464 0.464 0.000
# uncorrected energy	-30.3555	eV per atom
# formation energy from the elements	-0.484	eV/atom

(14)
# Ca2YRe | Alexandria | SCAN | PBEsol geometry
data_Ca2YRe
_space_group_name_H-M_alt 'P 1'
_space_group_IT_number 1
_cell_length_a 3.035
_cell_length_b 4.958
_cell_length_c 6.340
_cell_angle_alpha 90.00
_cell_angle_beta 90.00
_cell_angle_gamma 90.00
loop_
_space_group_symop_operation_xyz
'x,y,z'
loop_
_atom_site_label
_atom_site_fract_x
_atom_site_fract_y
_atom_site_fract_z
Ca1 0.000 0.000 0.223
Ca2 0.000 0.000 0.777
Y1 0.500 0.500 0.500
Re1 0.500 0.500 0.000
# uncorrected energy	-28.8271	eV per atom
# formation energy from the elements	0.740	eV/atom

(15)
# Li3NiPCO7 | Alexandria | SCAN | PBEsol geometry
data_Li3NiPCO7
_space_group_name_H-M_alt 'P 1'
_space_group_IT_number 1
_cell_length_a 4.759
_cell_length_b 6.426
_cell_length_c 8.462
_cell_angle_alpha 90.00
_cell_angle_beta 92.73
_cell_angle_gamma 90.00
loop_
_space_group_symop_operation_xyz
'x,y,z'
loop_
_atom_site_label
_atom_site_fract_x
_atom_site_fract_y
_atom_site_fract_z
Li1 0.153 0.000 0.111
Li2 0.263 0.312 0.356
Li3 0.324 0.535 0.686
Li4 0.676 0.035 0.314
Li5 0.737 0.812 0.644
Li6 0.847 0.500 0.889
Ni1 0.316 0.099 0.737
Ni2 0.684 0.599 0.263
P1 0.188 0.814 0.429
P2 0.812 0.314 0.571
C1 0.334 0.379 0.023
C2 0.666 0.879 0.977
O1 0.139 0.293 0.576
O2 0.177 0.306 0.126
O3 0.248 0.372 0.872
O4 0.276 0.004 0.335
O5 0.284 0.826 0.609
O6 0.307 0.617 0.352
O7 0.424 0.964 0.942
O8 0.576 0.464 0.058
O9 0.693 0.117 0.648
O10 0.716 0.326 0.391
O11 0.724 0.504 0.665
O12 0.752 0.872 0.128
O13 0.823 0.806 0.874
O14 0.861 0.793 0.424
# uncorrected energy	-8.8585	eV per atom
# E_form (uncorrected)	-2131	meV per atom

(16)
# CaZr2Cl | Alexandria | SCAN | PBEsol geometry
data_CaZr2Cl
_space_group_name_H-M_alt 'P 1'
_space_group_IT_number 1
_cell_length_a 5.358
_cell_length_b 5.358
_cell_length_c 3.163
_cell_angle_alpha 90.00
_cell_angle_beta 90.00
_cell_angle_gamma 90.00
loop_
_space_group_symop_operation_xyz
'x,y,z'
loop_
_atom_site_label
_atom_site_fract_x
_atom_site_fract_y
_atom_site_fract_z
Ca1 0.000 0.000 0.000
Zr1 0.000 0.500 0.500
Zr2 0.500 0.000 0.500
Cl1 0.500 0.500 0.000
# uncorrected energy	-19.3713	eV per atom
# E_form (uncorrected)	388	meV per atom

(17)
# AlAu | Alexandria | SCAN | PBEsol geometry
data_AlAu
_space_group_name_H-M_alt 'P 1'
_space_group_IT_number 1
_cell_length_a 3.116
_cell_length_b 4.717
_cell_length_c 4.444
_cell_angle_alpha 90.00
_cell_angle_beta 90.00
_cell_angle_gamma 90.00
loop_
_space_group_symop_operation_xyz
'x,y,z'
loop_
_atom_site_label
_atom_site_fract_x
_atom_site_fract_y
_atom_site_fract_z
Al1 0.250 0.250 0.116
Al2 0.750 0.750 0.884
Au1 0.250 0.750 0.358
Au2 0.750 0.250 0.642
# uncorrected energy	-38.9943	eV per atom
# formation energy from the elements	-0.540	eV/atom

(18)
# LiTeIN2 | Alexandria | SCAN | PBEsol geometry
data_LiTeIN2
_space_group_name_H-M_alt 'P 1'
_space_group_IT_number 1
_cell_length_a 4.338
_cell_length_b 4.338
_cell_length_c 5.529
_cell_angle_alpha 90.00
_cell_angle_beta 90.00
_cell_angle_gamma 90.00
loop_
_space_group_symop_operation_xyz
'x,y,z'
loop_
_atom_site_label
_atom_site_fract_x
_atom_site_fract_y
_atom_site_fract_z
Li1 0.000 0.000 0.000
Te1 0.000 0.000 0.500
I1 0.500 0.500 0.500
N1 0.000 0.500 0.000
N2 0.500 0.000 0.000
# uncorrected energy	-17.5629	eV per atom
# E_form (uncorrected)	1430	meV per atom

(19)
# RbP2RuO | Alexandria | SCAN | PBEsol geometry
data_RbP2RuO
_space_group_name_H-M_alt 'P 1'
_space_group_IT_number 1
_cell_length_a 4.933
_cell_length_b 4.933
_cell_length_c 3.748
_cell_angle_alpha 90.00
_cell_angle_beta 90.00
_cell_angle_gamma 90.00
loop_
_space_group_symop_operation_xyz
'x,y,z'
loop_
_atom_site_label
_atom_site_fract_x
_atom_site_fract_y
_atom_site_fract_z
Rb1 0.000 0.000 0.000
P1 0.000 0.500 0.500
P2 0.500 0.000 0.500
Ru1 0.500 0.500 0.500
O1 0.500 0.500 0.000
# uncorrected energy	-16.4060	eV per atom
# E_form (uncorrected)	113	meV per atom

(20)
# SiSe | Alexandria | SCAN | PBEsol geometry
data_SiSe
_space_group_name_H-M_alt 'P 1'
_space_group_IT_number 1
_cell_length_a 6.603
_cell_length_b 6.603
_cell_length_c 3.382
_cell_angle_alpha 90.00
_cell_angle_beta 90.00
_cell_angle_gamma 120.00
loop_
_space_group_symop_operation_xyz
'x,y,z'
loop_
_atom_site_label
_atom_site_fract_x
_atom_site_fract_y
_atom_site_fract_z
Si1 0.000 0.000 0.000
Si2 0.333 0.667 0.500
Si3 0.667 0.333 0.500
Se1 0.000 0.411 0.000
Se2 0.411 0.000 0.000
Se3 0.589 0.589 0.000
# uncorrected energy	-14.5963	eV per atom
# E_form (uncorrected)	451	meV per atom